## AlCuPt2 (PBE)

Data for an optimized crystal structure of AlCuPt2.

Unit cell a=3.9913 b=3.9913 c=3.5520 alpha=90.00 beta=90.00 gamma=90.00
Atoms (fractional coordinates):
Al (0.0000, 0.0000, 0.0000)
Cu (0.5000, 0.5000, 0.0000)
Pt (0.0000, 0.5000, 0.5000)
Pt (0.5000, 0.0000, 0.5000)

Output
**Symmetry**: P4/mmm, No. 123
**Crystal system**: tetragonal
**ΔH_f (0 K)**: -715.9 meV per atom

## AlCuPt2 (PBE)

Data for an optimized crystal structure of AlCuPt2.

Unit cell a=4.4403 b=2.8900 c=4.8732 alpha=90.00 beta=111.29 gamma=90.00
Atoms (fractional coordinates):
Al (0.0000, 0.0000, 0.0000)
Cu (0.0000, 0.5000, 0.5000)
Pt (0.5000, 0.0000, 0.5000)
Pt (0.5000, 0.5000, 0.0000)

Output
**Symmetry**: P2/m, No. 10
**Crystal system**: monoclinic
**ΔH_f (0 K)**: -510.7 meV per atom

## AlCuPt2 (PBE)

Data for an optimized crystal structure of AlCuPt2.

Unit cell a=4.4711 b=4.4711 c=4.9410 alpha=101.89 beta=101.89 gamma=37.29
Atoms (fractional coordinates):
Al (0.0000, 0.0000, 0.0000)
Cu (0.5000, 0.5000, 0.5000)
Pt (0.2602, 0.2602, 0.7524)
Pt (0.7398, 0.7398, 0.2476)

Output
**Symmetry**: C2/m, No. 12
**Crystal system**: monoclinic
**ΔH_f (0 K)**: -530.3 meV per atom

## AlCu2Pt (PBE)

Data for an optimized crystal structure of AlCu2Pt.

Unit cell a=4.5479 b=4.5479 c=4.5479 alpha=130.18 beta=130.18 gamma=73.12
Atoms (fractional coordinates):
Al (0.0000, 0.0000, 0.0000)
Cu (0.2500, 0.7500, 0.5000)
Cu (0.5000, 0.5000, 0.0000)
Pt (0.7500, 0.2500, 0.5000)

Output
**Symmetry**: I-4m2, No. 119
**Crystal system**: tetragonal
**ΔH_f (0 K)**: -483.3 meV per atom

## AlCuPt2 (PBE)

Data for an optimized crystal structure of AlCuPt2.

Unit cell a=4.8729 b=4.8729 c=4.8729 alpha=50.66 beta=50.66 gamma=50.66
Atoms (fractional coordinates):
Al (0.0000, 0.0000, 0.0000)
Cu (0.1983, 0.1983, 0.1983)
Pt (0.4165, 0.4165, 0.4165)
Pt (0.6271, 0.6271, 0.6271)

Output
**Symmetry**: R3m, No. 160
**Crystal system**: trigonal
**ΔH_f (0 K)**: -432.3 meV per atom

## Al4CuPt7 (PBE)

Data for an optimized crystal structure of Al4CuPt7.

Unit cell a=6.3924 b=6.3924 c=9.0921 alpha=125.20 beta=125.20 gamma=41.60
Atoms (fractional coordinates):
Al (0.0798, 0.0798, 0.2900)
Al (0.2132, 0.2132, 0.8418)
Al (0.7868, 0.7868, 0.1582)
Al (0.9202, 0.9202, 0.7100)
Cu (0.5000, 0.5000, 0.5000)
Pt (0.0000, 0.0000, 0.5000)
Pt (0.1431, 0.1431, 0.0697)
Pt (0.2866, 0.2866, 0.6392)
Pt (0.4244, 0.4244, 0.1775)
Pt (0.5756, 0.5756, 0.8225)
Pt (0.7134, 0.7134, 0.3608)
Pt (0.8569, 0.8569, 0.9303)

Output
**Symmetry**: C2/m, No. 12
**Crystal system**: monoclinic
**ΔH_f (0 K)**: -615.6 meV per atom

## AlCu2Pt8 (PBE)

Data for an optimized crystal structure of AlCu2Pt8.

Unit cell a=7.2628 b=7.2628 c=6.1884 alpha=105.25 beta=105.25 gamma=31.54
Atoms (fractional coordinates):
Al (0.0000, 0.0000, 0.0000)
Cu (0.2734, 0.2734, 0.3654)
Cu (0.7266, 0.7266, 0.6346)
Pt (0.0946, 0.0946, 0.4466)
Pt (0.1806, 0.1806, 0.9152)
Pt (0.3634, 0.3634, 0.8149)
Pt (0.4526, 0.4526, 0.2735)
Pt (0.5474, 0.5474, 0.7265)
Pt (0.6366, 0.6366, 0.1851)
Pt (0.8194, 0.8194, 0.0848)
Pt (0.9054, 0.9054, 0.5534)

Output
**Symmetry**: C2/m, No. 12
**Crystal system**: monoclinic
**ΔH_f (0 K)**: -303.9 meV per atom

## AlCuPt2 (PBE)

Data for an optimized crystal structure of AlCuPt2.

Unit cell a=8.7135 b=8.7135 c=8.7135 alpha=18.51 beta=18.51 gamma=18.51
Atoms (fractional coordinates):
Al (0.0000, 0.0000, 0.0000)
Cu (0.7432, 0.7432, 0.7432)
Pt (0.2554, 0.2554, 0.2554)
Pt (0.4931, 0.4931, 0.4931)

Output
**Symmetry**: R3m, No. 160
**Crystal system**: trigonal
**ΔH_f (0 K)**: -372.7 meV per atom

## Al3CuPt (PBE)

Data for an optimized crystal structure of Al3CuPt.

Unit cell a=4.7451 b=4.7451 c=4.7451 alpha=90.00 beta=90.00 gamma=90.00
Atoms (fractional coordinates):
Al (0.0000, 0.0000, 0.5000)
Al (0.0000, 0.5000, 0.0000)
Al (0.5000, 0.0000, 0.0000)
Cu (0.5000, 0.5000, 0.5000)
Pt (0.0000, 0.0000, 0.0000)

Output
**Symmetry**: Pm-3m, No. 221
**Distance to the lowest polymorph of the same formula**: 0.569 eV per atom
**Crystal system**: cubic
**ΔH_f (0 K)**: 20.9 meV per atom

## AlCu2Pt (PBE)

Data for an optimized crystal structure of AlCu2Pt.

Unit cell a=9.4910 b=9.4910 c=9.4910 alpha=158.17 beta=158.17 gamma=31.07
Atoms (fractional coordinates):
Al (0.0000, 0.0000, 0.0000)
Al (0.7500, 0.2500, 0.5000)
Cu (0.1270, 0.6250, 0.0020)
Cu (0.3750, 0.3770, 0.5020)
Cu (0.6230, 0.1250, 0.9980)
Cu (0.8750, 0.8730, 0.4980)
Pt (0.2500, 0.7500, 0.5000)
Pt (0.5000, 0.5000, 0.0000)

Output
**Symmetry**: I-42d, No. 122
**Crystal system**: tetragonal
**ΔH_f (0 K)**: -191.8 meV per atom

## AlCuPt2 (PBE)

Data for an optimized crystal structure of AlCuPt2.

Unit cell a=4.9028 b=4.9028 c=4.4513 alpha=106.68 beta=106.68 gamma=34.03
Atoms (fractional coordinates):
Al (0.0000, 0.0000, 0.0000)
Cu (0.7333, 0.7333, 0.3437)
Pt (0.2579, 0.2579, 0.8605)
Pt (0.4830, 0.4830, 0.4890)

Output
**Symmetry**: Cm, No. 8
**Crystal system**: monoclinic
**ΔH_f (0 K)**: -602.3 meV per atom

## Al3CuPt4 (PBE)

Data for an optimized crystal structure of Al3CuPt4.

Unit cell a=7.6957 b=7.6957 c=4.0135 alpha=104.93 beta=104.93 gamma=30.23
Atoms (fractional coordinates):
Al (0.0000, 0.0000, 0.0000)
Al (0.2527, 0.2527, 0.2528)
Al (0.7473, 0.7473, 0.7472)
Cu (0.5000, 0.5000, 0.5000)
Pt (0.1288, 0.1288, 0.6293)
Pt (0.3712, 0.3712, 0.8704)
Pt (0.6288, 0.6288, 0.1296)
Pt (0.8712, 0.8712, 0.3707)

Output
**Symmetry**: C2/m, No. 12
**Crystal system**: monoclinic
**ΔH_f (0 K)**: -863.9 meV per atom

## AlCu2Pt (PBE)

Data for an optimized crystal structure of AlCu2Pt.

Unit cell a=2.7459 b=4.5170 c=4.4529 alpha=90.00 beta=92.75 gamma=90.00
Atoms (fractional coordinates):
Al (0.0000, 0.0000, 0.0000)
Cu (0.2375, 0.5000, 0.7559)
Cu (0.7625, 0.5000, 0.2441)
Pt (0.5000, 0.0000, 0.5000)

Output
**Symmetry**: P2/m, No. 10
**Crystal system**: monoclinic
**ΔH_f (0 K)**: -350.3 meV per atom

## AlCuPt2 (PBE)

Data for an optimized crystal structure of AlCuPt2.

Unit cell a=4.3666 b=4.3666 c=4.3666 alpha=60.00 beta=60.00 gamma=60.00
Atoms (fractional coordinates):
Al (0.0000, 0.0000, 0.0000)
Cu (0.2500, 0.2500, 0.2500)
Pt (0.5000, 0.5000, 0.5000)
Pt (0.7500, 0.7500, 0.7500)

Output
**Symmetry**: F-43m, No. 216
**Crystal system**: cubic
**ΔH_f (0 K)**: -433.6 meV per atom

## AlCu5Pt2 (PBE)

Data for an optimized crystal structure of AlCu5Pt2.

Unit cell a=5.3187 b=10.6089 c=3.7260 alpha=90.00 beta=90.00 gamma=90.00
Atoms (fractional coordinates):
Al (0.0000, 0.0000, 0.0000)
Al (0.5000, 0.5000, 0.0000)
Cu (0.0000, 0.5000, 0.0000)
Cu (0.0215, 0.2507, 0.0000)
Cu (0.2270, 0.6309, 0.5000)
Cu (0.2730, 0.1309, 0.5000)
Cu (0.4785, 0.7507, 0.0000)
Cu (0.5000, 0.0000, 0.0000)
Cu (0.5215, 0.2493, 0.0000)
Cu (0.7270, 0.8691, 0.5000)
Cu (0.7730, 0.3691, 0.5000)
Cu (0.9785, 0.7493, 0.0000)
Pt (0.2282, 0.8811, 0.5000)
Pt (0.2718, 0.3811, 0.5000)
Pt (0.7282, 0.6189, 0.5000)
Pt (0.7718, 0.1189, 0.5000)

Output
**Symmetry**: Pbam, No. 55
**Crystal system**: orthorhombic
**ΔH_f (0 K)**: -352.4 meV per atom

## Al2Cu3Pt (PBE)

Data for an optimized crystal structure of Al2Cu3Pt.

Unit cell a=3.7820 b=3.7820 c=11.6222 alpha=99.25 beta=99.25 gamma=90.06
Atoms (fractional coordinates):
Al (0.0473, 0.2960, 0.0932)
Al (0.2960, 0.0473, 0.5932)
Al (0.7040, 0.9527, 0.4068)
Al (0.9527, 0.7040, 0.9068)
Cu (0.1256, 0.8744, 0.2500)
Cu (0.2121, 0.4616, 0.4238)
Cu (0.4616, 0.2121, 0.9238)
Cu (0.5384, 0.7879, 0.0762)
Cu (0.7879, 0.5384, 0.5762)
Cu (0.8744, 0.1256, 0.7500)
Pt (0.3746, 0.6254, 0.7500)
Pt (0.6254, 0.3746, 0.2500)

Output
**Symmetry**: C2/c, No. 15
**Crystal system**: monoclinic
**ΔH_f (0 K)**: -395.7 meV per atom

## Al2CuPt2 (PBE)

Data for an optimized crystal structure of Al2CuPt2.

Unit cell a=7.3179 b=7.3179 c=2.8266 alpha=90.00 beta=90.00 gamma=90.00
Atoms (fractional coordinates):
Al (0.1536, 0.3464, 0.0000)
Al (0.3464, 0.8464, 0.0000)
Al (0.6536, 0.1536, 0.0000)
Al (0.8464, 0.6536, 0.0000)
Cu (0.0000, 0.0000, 0.5000)
Cu (0.5000, 0.5000, 0.5000)
Pt (0.1453, 0.6453, 0.5000)
Pt (0.3547, 0.1453, 0.5000)
Pt (0.6453, 0.8547, 0.5000)
Pt (0.8547, 0.3547, 0.5000)

Output
**Symmetry**: P4/mbm, No. 127
**Distance to the lowest polymorph of the same formula**: 0.000 eV per atom
**Crystal system**: tetragonal
**ΔH_f (0 K)**: -747.0 meV per atom

## AlCu2Pt (PBE)

Data for an optimized crystal structure of AlCu2Pt.

Unit cell a=2.7078 b=2.7078 c=8.5406 alpha=90.00 beta=90.00 gamma=116.86
Atoms (fractional coordinates):
Al (0.0000, 0.0000, 0.0000)
Cu (0.5000, 0.5000, 0.2400)
Cu (0.5000, 0.5000, 0.7600)
Pt (0.0000, 0.0000, 0.5000)

Output
**Symmetry**: Cmmm, No. 65
**Crystal system**: orthorhombic
**ΔH_f (0 K)**: -97.1 meV per atom

## AlCu2Pt (PBE)

Data for an optimized crystal structure of AlCu2Pt.

Unit cell a=8.5263 b=8.5263 c=8.5263 alpha=18.60 beta=18.60 gamma=18.60
Atoms (fractional coordinates):
Al (0.0000, 0.0000, 0.0000)
Cu (0.2535, 0.2535, 0.2535)
Cu (0.7465, 0.7465, 0.7465)
Pt (0.5000, 0.5000, 0.5000)

Output
**Symmetry**: R-3m, No. 166
**Crystal system**: trigonal
**ΔH_f (0 K)**: -158.3 meV per atom

## Al6Cu5Pt (PBE)

Data for an optimized crystal structure of Al6Cu5Pt.

Unit cell a=7.2823 b=7.2823 c=7.2823 alpha=146.78 beta=129.01 gamma=62.22
Atoms (fractional coordinates):
Al (0.0785, 0.3319, 0.7467)
Al (0.2435, 0.0000, 0.2435)
Al (0.4148, 0.6681, 0.7467)
Al (0.5852, 0.3319, 0.2533)
Al (0.7565, 0.0000, 0.7565)
Al (0.9215, 0.6681, 0.2533)
Cu (0.0000, 0.5000, 0.5000)
Cu (0.1670, 0.1670, 0.0000)
Cu (0.3308, 0.8308, 0.5000)
Cu (0.6692, 0.1692, 0.5000)
Cu (0.8330, 0.8330, 0.0000)
Pt (0.5000, 0.5000, 0.0000)

Output
**Symmetry**: Immm, No. 71
**Crystal system**: orthorhombic
**ΔH_f (0 K)**: -315.0 meV per atom

## Al4CuPt (PBE)

Data for an optimized crystal structure of Al4CuPt.

Unit cell a=5.0959 b=5.0959 c=5.0959 alpha=60.00 beta=60.00 gamma=60.00
Atoms (fractional coordinates):
Al (0.1249, 0.1249, 0.1249)
Al (0.1249, 0.1249, 0.6252)
Al (0.1249, 0.6252, 0.1249)
Al (0.6252, 0.1249, 0.1249)
Cu (0.7500, 0.7500, 0.7500)
Pt (0.5000, 0.5000, 0.5000)

Output
**Symmetry**: F-43m, No. 216
**Crystal system**: cubic
**ΔH_f (0 K)**: 64.5 meV per atom

## AlCuPt2 (PBE)

Data for an optimized crystal structure of AlCuPt2.

Unit cell a=3.2207 b=3.2207 c=5.6039 alpha=90.00 beta=90.00 gamma=90.00
Atoms (fractional coordinates):
Al (0.0000, 0.0000, 0.0000)
Cu (0.5000, 0.5000, 0.2467)
Pt (0.0000, 0.0000, 0.4621)
Pt (0.5000, 0.5000, 0.7766)

Output
**Symmetry**: P4mm, No. 99
**Crystal system**: tetragonal
**ΔH_f (0 K)**: -481.7 meV per atom

## AlCu2Pt2 (PBE)

Data for an optimized crystal structure of AlCu2Pt2.

Unit cell a=7.0671 b=7.0671 c=2.9143 alpha=90.00 beta=90.00 gamma=90.00
Atoms (fractional coordinates):
Al (0.0000, 0.0000, 0.0000)
Al (0.5000, 0.5000, 0.0000)
Cu (0.1206, 0.3794, 0.0000)
Cu (0.3794, 0.8794, 0.0000)
Cu (0.6206, 0.1206, 0.0000)
Cu (0.8794, 0.6206, 0.0000)
Pt (0.1781, 0.6781, 0.5000)
Pt (0.3219, 0.1781, 0.5000)
Pt (0.6781, 0.8219, 0.5000)
Pt (0.8219, 0.3219, 0.5000)

Output
**Symmetry**: P4/mbm, No. 127
**Distance to the lowest polymorph of the same formula**: 0.117 eV per atom
**Crystal system**: tetragonal
**ΔH_f (0 K)**: -212.3 meV per atom

## AlCuPt2 (PBE)

Data for an optimized crystal structure of AlCuPt2.

Unit cell a=2.8725 b=3.4517 c=5.7099 alpha=90.00 beta=90.19 gamma=90.00
Atoms (fractional coordinates):
Al (0.0000, 0.0000, 0.0000)
Cu (0.0000, 0.0000, 0.5000)
Pt (0.5002, 0.5000, 0.2475)
Pt (0.4998, 0.5000, 0.7525)

Output
**Symmetry**: P2/m, No. 10
**Crystal system**: monoclinic
**ΔH_f (0 K)**: -695.8 meV per atom

## AlCuPt2 (PBE)

Data for an optimized crystal structure of AlCuPt2.

Unit cell a=5.5291 b=5.5291 c=5.5291 alpha=103.90 beta=103.90 gamma=121.31
Atoms (fractional coordinates):
Al (0.0000, 0.0000, 0.0000)
Al (0.7500, 0.2500, 0.5000)
Cu (0.2500, 0.7500, 0.5000)
Cu (0.5000, 0.5000, 0.0000)
Pt (0.1109, 0.6250, 0.9859)
Pt (0.3750, 0.3609, 0.4859)
Pt (0.6391, 0.1250, 0.0141)
Pt (0.8750, 0.8891, 0.5141)

Output
**Symmetry**: I-42d, No. 122
**Crystal system**: tetragonal
**ΔH_f (0 K)**: -319.1 meV per atom

## AlCuPt4 (PBE)

Data for an optimized crystal structure of AlCuPt4.

Unit cell a=7.1209 b=7.1110 c=5.8233 alpha=65.94 beta=65.76 gamma=48.31
Atoms (fractional coordinates):
Al (0.1250, 0.1250, 0.1250)
Al (0.8750, 0.8750, 0.8750)
Cu (0.3750, 0.3750, 0.3750)
Cu (0.6250, 0.6250, 0.6250)
Pt (0.0004, 0.5001, 0.2482)
Pt (0.9996, 0.4999, 0.7518)
Pt (0.2482, 0.7514, 0.0004)
Pt (0.2486, 0.7518, 0.4999)
Pt (0.4999, 0.9996, 0.2486)
Pt (0.5001, 0.0004, 0.7514)
Pt (0.7514, 0.2482, 0.5001)
Pt (0.7518, 0.2486, 0.9996)

Output
**Symmetry**: Fddd, No. 70
**Distance to the lowest polymorph of the same formula**: 0.000 eV per atom
**Crystal system**: orthorhombic
**ΔH_f (0 K)**: -309.9 meV per atom